(1)
VASP calculation (meta-GGA SCAN) on a crystal of Ni2IrRh relaxed with PBEsol.

Cell and atoms, written as extended XYZ:
```
4
Lattice="1.3145 0.7589 8.2046 -1.3145 0.7589 8.2046 0.0000 -1.5178 8.2046" Properties=species:S:1:pos:R:3 pbc="T T T"
Ni 0.0000 0.0000 6.1541
Ni 0.0000 0.0000 18.4596
Ir 0.0000 0.0000 0.0000
Rh 0.0000 0.0000 12.3069
```

Results
**SG**: R-3m, No. 166
**Polymorph energy (0 for the lowest one)**: 0.054 eV/atom
**Density of states at the Fermi level**: 4.93 states/eV/cell



(2)
VASP calculation (meta-GGA SCAN) on a crystal of NiIrRh2 relaxed with PBEsol.

Cell and atoms, written as extended XYZ:
```
4
Lattice="-1.8521 1.8521 3.7604 1.8521 -1.8521 3.7604 1.8521 1.8521 -3.7604" Properties=species:S:1:pos:R:3 pbc="T T T"
Ni 0.0000 0.0000 0.0000
Ir 0.0000 0.0000 3.7604
Rh 1.8521 0.0000 1.8802
Rh 0.0000 1.8521 1.8802
```

Results
**SG**: I4/mmm, No. 139
**Polymorph energy (0 for the lowest one)**: 0.000 eV/atom
**Density of states at the Fermi level**: 4.44 states/eV/cell



(3)
VASP calculation (meta-GGA SCAN) on a crystal of NiIrRh2 relaxed with PBEsol.

Cell and atoms, written as extended XYZ:
```
4
Lattice="1.3303 0.7680 8.4718 -1.3303 0.7680 8.4718 0.0000 -1.5361 8.4718" Properties=species:S:1:pos:R:3 pbc="T T T"
Ni 0.0000 0.0000 0.0000
Ir 0.0000 0.0000 6.4322
Rh 0.0000 0.0000 12.7056
Rh 0.0000 0.0000 18.9858
```

Results
**SG**: R3m, No. 160
**Polymorph energy (0 for the lowest one)**: 0.019 eV/atom
**Density of states at the Fermi level**: 3.99 states/eV/cell



(4)
VASP calculation (meta-GGA SCAN) on a crystal of NiIrRh2 relaxed with PBEsol.

Cell and atoms, written as extended XYZ:
```
4
Lattice="-1.8592 1.8592 3.7415 1.8592 -1.8592 3.7415 1.8592 1.8592 -3.7415" Properties=species:S:1:pos:R:3 pbc="T T T"
Ni 0.0000 0.0000 0.0000
Ir 1.8592 0.0000 1.8707
Rh 0.0000 0.0000 3.7415
Rh 0.0000 1.8592 1.8707
```

Results
**SG**: I-4m2, No. 119
**Polymorph energy (0 for the lowest one)**: 0.015 eV/atom
**Density of states at the Fermi level**: 3.94 states/eV/cell



(5)
VASP calculation (meta-GGA SCAN) on a crystal of Ni2IrRh relaxed with PBEsol.

Cell and atoms, written as extended XYZ:
```
4
Lattice="4.1814 -1.3122 0.0000 4.1814 1.3122 0.0000 -0.8194 0.0000 4.4685" Properties=species:S:1:pos:R:3 pbc="T T T"
Ni 1.8748 0.0000 1.1004
Ni 5.6686 0.0000 3.3681
Ir 4.1814 0.0000 0.0000
Rh -0.4097 0.0000 2.2343
```

Results
**SG**: C2/m, No. 12
**Polymorph energy (0 for the lowest one)**: 0.044 eV/atom
**Density of states at the Fermi level**: 4.90 states/eV/cell



(6)
VASP calculation (meta-GGA SCAN) on a crystal of NiIrRh2 relaxed with PBEsol.

Cell and atoms, written as extended XYZ:
```
4
Lattice="2.6728 0.0000 0.0000 0.0000 2.6728 0.0000 0.0000 0.0000 7.2386" Properties=species:S:1:pos:R:3 pbc="T T T"
Ni 0.0000 0.0000 0.0000
Ir 0.0000 0.0000 3.6193
Rh 1.3364 1.3364 1.7408
Rh 1.3364 1.3364 5.4978
```

Results
**SG**: P4/mmm, No. 123
**Polymorph energy (0 for the lowest one)**: 0.026 eV/atom
**Density of states at the Fermi level**: 4.05 states/eV/cell



(7)
VASP calculation (meta-GGA SCAN) on a crystal of NiIrRh2 relaxed with PBEsol.

Cell and atoms, written as extended XYZ:
```
4
Lattice="4.3528 -1.3327 0.0000 4.3528 1.3327 0.0000 -0.8380 0.0000 4.4703" Properties=species:S:1:pos:R:3 pbc="T T T"
Ni 0.0000 0.0000 0.0000
Ir 6.2834 0.0000 1.1036
Rh 1.5564 0.0000 3.3804
Rh 3.9127 0.0000 2.2068
```

Results
**SG**: Cm, No. 8
**Polymorph energy (0 for the lowest one)**: 0.010 eV/atom
**Density of states at the Fermi level**: 3.87 states/eV/cell



(8)
VASP calculation (meta-GGA SCAN) on a crystal of Ni2IrRh relaxed with PBEsol.

Cell and atoms, written as extended XYZ:
```
4
Lattice="2.6344 0.0000 0.0000 0.0000 2.6344 0.0000 0.0000 0.0000 7.0020" Properties=species:S:1:pos:R:3 pbc="T T T"
Ni 0.0000 0.0000 1.7462
Ni 0.0000 0.0000 5.2558
Ir 1.3172 1.3172 0.0000
Rh 1.3172 1.3172 3.5010
```

Results
**SG**: P4/mmm, No. 123
**Polymorph energy (0 for the lowest one)**: 0.052 eV/atom
**Density of states at the Fermi level**: 4.13 states/eV/cell



| no. | final energy (eV/atom) |
| --- | --- |
| 1 | -34.253 |
| 2 | -38.715 |
| 3 | -38.696 |
| 4 | -38.699 |
| 5 | -34.263 |
| 6 | -38.689 |
| 7 | -38.705 |
| 8 | -34.255 |